Record 1
This record from Alexandria via LeMat-Bulk describes a relaxed structure of Zn2CrRu. The functional is PBE.

Unit cell a=2.5965 b=2.5965 c=8.5876 alpha=90.00 beta=90.00 gamma=109.87
Last column: nearest neighbours and their distance in Å.
Positions (direct):
1 Zn 0.0000 0.0000 0.2460  2 Cr 2.59, 4 Zn 2.60, 2 Ru 2.64
2 Zn 0.0000 0.0000 0.7540  2 Cr 2.59, 4 Zn 2.60, 2 Ru 2.64
3 Cr 0.5000 0.5000 0.0000  4 Zn 2.59, 4 Cr 2.60
4 Ru 0.5000 0.5000 0.5000  4 Ru 2.60, 4 Zn 2.64

**Distance to the lowest polymorph of the same formula**: 5.81 kcal/mol of atoms
**Total magnetic moment**: 1.3 Bohr magnetons per cell
**ΔH_f (0 K)**: 0.245 eV per atom
**Space-group type**: Cmmm (65)

Record 2
This record from Alexandria via LeMat-Bulk describes a relaxed structure of Zn2CrRu. The functional is PBE.

Unit cell a=4.2221 b=4.2221 c=4.2221 alpha=60.00 beta=60.00 gamma=60.00
Last column: nearest neighbours and their distance in Å.
Positions (direct):
1 Zn 0.0000 0.0000 0.0000  4 Ru 2.59, 4 Zn 2.59
2 Zn 0.2500 0.2500 0.2500  4 Cr 2.59, 4 Zn 2.59
3 Cr 0.5000 0.5000 0.5000  4 Ru 2.59, 4 Zn 2.59
4 Ru 0.7500 0.7500 0.7500  4 Cr 2.59, 4 Zn 2.59

**Distance to the lowest polymorph of the same formula**: 2.26 kcal/mol of atoms
**Total magnetic moment**: 0.0 Bohr magnetons per cell
**ΔH_f (0 K)**: 0.091 eV per atom
**Space-group type**: F-43m (216)

Record 3
This record from Alexandria via LeMat-Bulk describes a relaxed structure of Zn2CrRu. The functional is PBE.

Unit cell a=4.3139 b=4.3139 c=4.3139 alpha=60.00 beta=60.00 gamma=60.00
Last column: nearest neighbours and their distance in Å.
Positions (direct):
1 Zn 0.2500 0.2500 0.2500  4 Ru 2.64, 4 Cr 2.64
2 Zn 0.7500 0.7500 0.7500  4 Ru 2.64, 4 Cr 2.64
3 Cr 0.0000 0.0000 0.0000  8 Zn 2.64
4 Ru 0.5000 0.5000 0.5000  8 Zn 2.64

**Distance to the lowest polymorph of the same formula**: 3.03 kcal/mol of atoms
**Total magnetic moment**: 4.1 Bohr magnetons per cell
**ΔH_f (0 K)**: 0.125 eV per atom
**Space-group type**: Fm-3m (225)

Record 4
This record from Alexandria via LeMat-Bulk describes a relaxed structure of Zn2CrRu. The functional is PBE.

Unit cell a=2.8935 b=2.8935 c=6.5341 alpha=90.00 beta=90.00 gamma=90.00
Last column: nearest neighbours and their distance in Å.
Positions (direct):
1 Zn 0.0000 0.0000 0.0000  8 Zn 2.68-2.89, 4 Ru 2.71
2 Zn 0.5000 0.5000 0.2653  4 Cr 2.64, 8 Zn 2.68-2.89
3 Cr 0.0000 0.0000 0.5215  4 Ru 2.45, 4 Zn 2.64
4 Ru 0.5000 0.5000 0.7284  4 Cr 2.45, 4 Zn 2.71

**Distance to the lowest polymorph of the same formula**: 0.00 kcal/mol of atoms
**Total magnetic moment**: 0.0 Bohr magnetons per cell
**ΔH_f (0 K)**: -0.007 eV per atom
**Space-group type**: P4mm (99)

Record 5
This record from Alexandria via LeMat-Bulk describes a relaxed structure of Zr2ZnCr2Ru5. The functional is PBE.

Unit cell a=9.7004 b=9.7004 c=3.3089 alpha=90.00 beta=90.00 gamma=90.00
Last column: nearest neighbours and their distance in Å.
Positions (direct):
1 Zr 0.1731 0.3269 0.0000  3 Cr 2.69-2.98, 2 Ru 2.89
2 Zr 0.3269 0.8269 0.0000  3 Cr 2.69-2.98, 2 Ru 2.89
3 Zr 0.6731 0.1731 0.0000  3 Cr 2.69-2.98, 2 Ru 2.89
4 Zr 0.8269 0.6731 0.0000  3 Cr 2.69-2.98, 2 Ru 2.89
5 Zn 0.0000 0.0000 0.0000  8 Ru 2.66
6 Zn 0.5000 0.5000 0.0000  8 Ru 2.66
7 Cr 0.1308 0.6308 0.0000  6 Ru 2.38-2.44
8 Cr 0.3692 0.1308 0.0000  6 Ru 2.38-2.44
9 Cr 0.6308 0.8692 0.0000  6 Ru 2.38-2.44
10 Cr 0.8692 0.3692 0.0000  6 Ru 2.38-2.44
11 Ru 0.0000 0.5000 0.5000  4 Cr 2.44
12 Ru 0.0651 0.7949 0.5000  2 Cr 2.38, 2 Zn 2.66
13 Ru 0.2051 0.0651 0.5000  2 Cr 2.38, 2 Zn 2.66
14 Ru 0.2949 0.5651 0.5000  2 Cr 2.38, 2 Zn 2.66
15 Ru 0.4349 0.2949 0.5000  2 Cr 2.38, 2 Zn 2.66
16 Ru 0.5000 0.0000 0.5000  4 Cr 2.44
17 Ru 0.5651 0.7051 0.5000  2 Cr 2.38, 2 Zn 2.66
18 Ru 0.7051 0.4349 0.5000  2 Cr 2.38, 2 Zn 2.66
19 Ru 0.7949 0.9349 0.5000  2 Cr 2.38, 2 Zn 2.66
20 Ru 0.9349 0.2051 0.5000  2 Cr 2.38, 2 Zn 2.66

**Total magnetic moment**: 0.0 Bohr magnetons per cell
**ΔH_f (0 K)**: -0.083 eV per atom
**Space-group type**: P4/mbm (127)

Record 6
This record from Alexandria via LeMat-Bulk describes a relaxed structure of ZrZnCrRu. The functional is PBE.

Unit cell a=4.4747 b=4.4747 c=4.4747 alpha=60.00 beta=60.00 gamma=60.00
Last column: nearest neighbours and their distance in Å.
Positions (direct):
1 Zr 0.0000 0.0000 0.0000  4 Cr 2.74, 4 Ru 2.74
2 Zn 0.5000 0.5000 0.5000  4 Cr 2.74, 4 Ru 2.74
3 Cr 0.7500 0.7500 0.7500  4 Zr 2.74, 4 Zn 2.74
4 Ru 0.2500 0.2500 0.2500  4 Zr 2.74, 4 Zn 2.74

**Total magnetic moment**: 3.1 Bohr magnetons per cell
**ΔH_f (0 K)**: -0.090 eV per atom
**Space-group type**: F-43m (216)

Record 7
This record from Alexandria via LeMat-Bulk describes a relaxed structure of ZrCr2Ru. The functional is PBE.

Unit cell a=2.8604 b=3.9333 c=5.4652 alpha=90.00 beta=102.78 gamma=90.00
Last column: nearest neighbours and their distance in Å.
Positions (direct):
1 Zr 0.0000 0.0000 0.0000  6 Cr 2.74-3.03, 4 Ru 2.74-3.02, 2 Zr 2.86
2 Cr 0.5329 0.0000 0.4821  2 Cr 2.32, 2 Ru 2.53
3 Cr 0.7118 0.5000 0.2964  2 Cr 2.32, 1 Ru 2.49
4 Ru 0.2798 0.5000 0.7139  3 Cr 2.49-2.53, 2 Zr 2.74

**Distance to the lowest polymorph of the same formula**: 2.86 kcal/mol of atoms
**Total magnetic moment**: 0.0 Bohr magnetons per cell
**ΔH_f (0 K)**: 0.132 eV per atom
**Space-group type**: Pm (6)

Record 8
This record from Alexandria via LeMat-Bulk describes a relaxed structure of ZrCr2Ru. The functional is PBE.

Unit cell a=2.7663 b=2.7663 c=8.3531 alpha=90.00 beta=90.00 gamma=112.67
Last column: nearest neighbours and their distance in Å.
Positions (direct):
1 Zr 0.0000 0.0000 0.0000  6 Zr 2.77-3.07, 2 Cr 2.77, 2 Ru 2.80
2 Cr 0.0000 0.0000 0.4793  2 Cr 2.29, 2 Ru 2.52
3 Cr 0.5000 0.5000 0.2758  2 Cr 2.29
4 Ru 0.5000 0.5000 0.7188  2 Cr 2.52, 4 Ru 2.77, 2 Zr 2.80

**Distance to the lowest polymorph of the same formula**: 4.92 kcal/mol of atoms
**Total magnetic moment**: 0.0 Bohr magnetons per cell
**ΔH_f (0 K)**: 0.221 eV per atom
**Space-group type**: Cmm2 (35)

Look up the total magnetic moment of the third one. 4.1 Bohr magnetons per cell

The highest ΔH_f (0 K) belongs to which entry? number 1

Among the records above, which one has the highest ΔH_f (0 K)? number 1